Record 1
UReHg | PBE | relaxed

a b c (Å): 6.547 6.547 6.547
angles (deg): 90.00 90.00 90.00
Space group F-43m (No. 216)
Inequivalent atoms, fractional coordinates:
U  0.000  0.000  0.000 (multiplicity 4)
Re  0.250  0.250  0.250 (multiplicity 4)
Hg  0.000  0.000  0.500 (multiplicity 4)

E ... -7.18 eV per atom
Calculated formation energy ... 0.83 eV/atom
Energy above the lowest structure with this stoichiometry ... 0.000 eV per formula unit

***

Record 2
YRe2Hg | PBE | relaxed

a b c (Å): 6.674 6.674 6.674
angles (deg): 90.00 90.00 90.00
Space group F-43m (No. 216)
Inequivalent atoms, fractional coordinates:
Y  0.000  0.000  0.000 (multiplicity 4)
Re  0.000  0.000  0.500 (multiplicity 4)
Re  0.250  0.250  0.250 (multiplicity 4)
Hg  0.250  0.250  0.750 (multiplicity 4)

E ... -7.37 eV per atom
Calculated formation energy ... 0.54 eV/atom

***

Record 3
ZnReHg2 | PBE | relaxed

a b c (Å): 6.621 6.621 6.621
angles (deg): 90.00 90.00 90.00
Space group F-43m (No. 216)
Inequivalent atoms, fractional coordinates:
Zn  0.000  0.000  0.000 (multiplicity 4)
Re  0.250  0.250  0.250 (multiplicity 4)
Hg  0.000  0.000  0.500 (multiplicity 4)
Hg  0.250  0.250  0.750 (multiplicity 4)

E ... -2.62 eV per atom
Calculated formation energy ... 0.95 eV/atom

***

Record 4
HgS | PBE | relaxed

a b c (Å): 4.2400 4.2400 6.9191
angles (deg): 90.00 90.00 120.00
Space group P6_3mc (No. 186)
Inequivalent atoms, fractional coordinates:
Hg  0.3333  0.6667  0.0000 (multiplicity 2)
S  0.3333  0.6667  0.3759 (multiplicity 2)

E ... -2.35 eV per atom

***

Record 5
Hg2S | PBE | relaxed

a b c (Å): 6.395 6.395 4.386
angles (deg): 90.00 90.00 90.00
Space group P4_2/mnm (No. 136)
Inequivalent atoms, fractional coordinates:
Hg  0.200  0.200  0.000 (multiplicity 4)
S  0.000  0.000  0.500 (multiplicity 2)

E ... -1.41 eV per atom
Energy above the lowest structure with this stoichiometry ... 0.072 eV per formula unit

***

Record 6
HgS | PBE | relaxed

a b c (Å): 5.990 5.990 5.990
angles (deg): 90.00 90.00 90.00
Space group F-43m (No. 216)
Inequivalent atoms, fractional coordinates:
Hg  0.000  0.000  0.000 (multiplicity 4)
S  0.250  0.250  0.750 (multiplicity 4)

E ... -2.35 eV per atom

***

Record 7
HgS | PBE | relaxed

a b c (Å): 3.757 12.981 3.817
angles (deg): 90.00 90.00 90.00
Space group Cmcm (No. 63)
Inequivalent atoms, fractional coordinates:
Hg  0.000  0.144  0.250 (multiplicity 4)
S  0.000  0.370  0.250 (multiplicity 4)

E ... -2.10 eV per atom

***

Record 8
HgS | PBE | relaxed

a b c (Å): 5.571 5.571 5.571
angles (deg): 90.00 90.00 90.00
Space group Fm-3m (No. 225)
Inequivalent atoms, fractional coordinates:
Hg  0.000  0.000  0.000 (multiplicity 4)
S  0.000  0.000  0.500 (multiplicity 4)

E ... -2.17 eV per atom

***

Record 9
HgS | PBE | relaxed

a b c (Å): 5.995 5.995 5.995
angles (deg): 90.00 90.00 90.00
Space group F-43m (No. 216)
Inequivalent atoms, fractional coordinates:
Hg  0.000  0.000  0.000 (multiplicity 4)
S  0.250  0.250  0.750 (multiplicity 4)

E ... -2.35 eV per atom

***

Record 10
HgS | PBE | relaxed

a b c (Å): 7.238 4.269 16.145
angles (deg): 90.00 95.85 90.00
Space group C2/m (No. 12)
Inequivalent atoms, fractional coordinates:
Hg  0.124  0.000  0.245 (multiplicity 4)
Hg  0.220  0.000  0.577 (multiplicity 4)
S  0.046  0.500  0.783 (multiplicity 4)
S  0.113  0.000  0.973 (multiplicity 4)

E ... -2.10 eV per atom

***

Record 11
HgS2 | PBE | relaxed

a b c (Å): 7.813 7.813 7.813
angles (deg): 90.00 90.00 90.00
Space group Fd-3m (No. 227, origin choice 2)
Inequivalent atoms, fractional coordinates:
Hg  0.125  0.125  0.125 (multiplicity 8)
S  0.000  0.000  0.500 (multiplicity 16)

E ... -2.04 eV per atom
Energy above the lowest structure with this stoichiometry ... 0.000 eV per formula unit

***

Record 12
Hg2S | PBE | relaxed

a b c (Å): 8.248 8.248 8.248
angles (deg): 90.00 90.00 90.00
Space group Fd-3m (No. 227, origin choice 2)
Inequivalent atoms, fractional coordinates:
Hg  0.000  0.000  0.000 (multiplicity 16)
S  0.125  0.125  0.625 (multiplicity 8)

E ... -0.98 eV per atom
Energy above the lowest structure with this stoichiometry ... 1.371 eV per formula unit

***

Record 13
Hg2S | PBE | relaxed

a b c (Å): 5.159 5.159 11.228
angles (deg): 90.00 90.00 90.00
Space group I-42d (No. 122)
Inequivalent atoms, fractional coordinates:
Hg  0.148  0.250  0.125 (multiplicity 8)
S  0.000  0.000  0.500 (multiplicity 4)

E ... -1.43 eV per atom
Energy above the lowest structure with this stoichiometry ... 0.000 eV per formula unit

***

Record 14
HgS2 | PBE | relaxed

a b c (Å): 11.314 11.314 11.314
angles (deg): 90.00 90.00 90.00
Space group Fd-3m (No. 227, origin choice 2)
Inequivalent atoms, fractional coordinates:
Hg  0.125  0.125  0.125 (multiplicity 8)
S  0.000  0.000  0.000 (multiplicity 16)

E ... -1.80 eV per atom
Energy above the lowest structure with this stoichiometry ... 0.734 eV per formula unit

***

Record 15
Hg2S | PBE | relaxed

a b c (Å): 12.419 12.419 12.419
angles (deg): 90.00 90.00 90.00
Space group Fd-3m (No. 227, origin choice 2)
Inequivalent atoms, fractional coordinates:
Hg  0.000  0.000  0.000 (multiplicity 16)
S  0.125  0.125  0.125 (multiplicity 8)

E ... -1.23 eV per atom
Energy above the lowest structure with this stoichiometry ... 0.621 eV per formula unit

***

Record 16
HgS | PBE | relaxed

a b c (Å): 5.344 5.351 11.334
angles (deg): 90.00 90.00 90.00
Space group Cmme (No. 67)
Inequivalent atoms, fractional coordinates:
Hg  0.000  0.250  0.120 (multiplicity 4)
S  0.000  0.250  0.862 (multiplicity 4)

E ... -2.10 eV per atom

***

Record 17
HgS | PBE | relaxed

a b c (Å): 3.8254 3.8254 3.5091
angles (deg): 90.00 90.00 120.00
Space group P-6m2 (No. 187)
Inequivalent atoms, fractional coordinates:
Hg  0.0000  0.0000  0.0000 (multiplicity 1)
S  0.6667  0.3333  0.5000 (multiplicity 1)

E ... -1.98 eV per atom

***

Record 18
HgS | PBE | relaxed

a b c (Å): 3.9486 3.9486 9.6228
angles (deg): 90.00 90.00 120.00
Space group R3m (No. 160, hexagonal axes)
Inequivalent atoms, fractional coordinates:
Hg  0.0000  0.0000  0.0000 (multiplicity 3)
S  0.0000  0.0000  0.5007 (multiplicity 3)

E ... -2.17 eV per atom

***

Record 19
HgS | PBE | relaxed

a b c (Å): 7.282 8.229 7.120
angles (deg): 90.00 90.00 90.00
Space group Cmce (No. 64)
Inequivalent atoms, fractional coordinates:
Hg  0.000  0.221  0.016 (multiplicity 8)
S  0.250  0.170  0.750 (multiplicity 8)

E ... -2.04 eV per atom

***

Record 20
HgS | PBE | relaxed

a b c (Å): 3.9125 3.9125 6.6730
angles (deg): 90.00 90.00 120.00
Space group P6_3/mmc (No. 194)
Inequivalent atoms, fractional coordinates:
Hg  0.0000  0.0000  0.0000 (multiplicity 2)
S  0.3333  0.6667  0.2500 (multiplicity 2)

E ... -2.09 eV per atom

***

Record 21
HgSbS2 | PBE | relaxed

a b c (Å): 3.941 3.942 8.396
angles (deg): 89.37 89.25 60.04
Space group P1 (No. 1)
Inequivalent atoms, fractional coordinates:
Hg  0.000  0.000  0.000 (multiplicity 1)
Sb  0.669  0.677  0.500 (multiplicity 1)
S  0.006  0.010  0.304 (multiplicity 1)
S  0.998  0.006  0.696 (multiplicity 1)

E ... -3.13 eV per atom

***

Record 22
ScTlHgS3 | PBE | relaxed

a b c (Å): 8.268 3.963 9.869
angles (deg): 90.00 108.94 90.00
Space group P2_1/m (No. 11)
Inequivalent atoms, fractional coordinates:
Sc  0.174  0.250  0.130 (multiplicity 2)
Tl  0.263  0.750  0.764 (multiplicity 2)
Hg  0.423  0.750  0.378 (multiplicity 2)
S  0.032  0.250  0.862 (multiplicity 2)
S  0.248  0.250  0.431 (multiplicity 2)
S  0.384  0.750  0.116 (multiplicity 2)

E ... -4.42 eV per atom
Energy above the lowest structure with this stoichiometry ... 0.193 eV per formula unit

***

Record 23
ScTlHgS3 | PBE | relaxed

a b c (Å): 3.892 15.291 10.405
angles (deg): 90.00 90.00 90.00
Space group Cmcm (No. 63)
Inequivalent atoms, fractional coordinates:
Sc  0.000  0.000  0.000 (multiplicity 4)
Tl  0.000  0.310  0.250 (multiplicity 4)
Hg  0.000  0.393  0.750 (multiplicity 4)
S  0.000  0.041  0.750 (multiplicity 4)
S  0.000  0.385  0.521 (multiplicity 8)

E ... -4.45 eV per atom
Energy above the lowest structure with this stoichiometry ... 0.000 eV per formula unit

***

Record 24
ScTlHgS3 | PBE | relaxed

a b c (Å): 11.910 3.886 12.756
angles (deg): 90.00 90.00 90.00
Space group Pnma (No. 62)
Inequivalent atoms, fractional coordinates:
Sc  0.050  0.250  0.145 (multiplicity 4)
Tl  0.126  0.250  0.542 (multiplicity 4)
Hg  0.243  0.750  0.330 (multiplicity 4)
S  0.042  0.750  0.283 (multiplicity 4)
S  0.084  0.250  0.935 (multiplicity 4)
S  0.241  0.750  0.667 (multiplicity 4)

E ... -4.40 eV per atom
Energy above the lowest structure with this stoichiometry ... 0.337 eV per formula unit

***

Record 25
Hg2SeS | PBE | relaxed

a b c (Å): 4.334 4.334 6.131
angles (deg): 90.00 90.00 90.00
Space group P-4m2 (No. 115)
Inequivalent atoms, fractional coordinates:
Hg  0.000  0.500  0.238 (multiplicity 2)
Se  0.000  0.000  0.500 (multiplicity 1)
S  0.500  0.500  0.000 (multiplicity 1)

E ... -2.22 eV per atom

***

Record 26
SiHg3S4 | PBE | relaxed

a b c (Å): 6.500 6.500 9.692
angles (deg): 90.00 90.00 90.00
Space group I-42m (No. 121)
Inequivalent atoms, fractional coordinates:
Si  0.000  0.000  0.000 (multiplicity 2)
Hg  0.000  0.000  0.500 (multiplicity 2)
Hg  0.000  0.500  0.250 (multiplicity 4)
S  0.196  0.196  0.120 (multiplicity 8)

E ... -3.02 eV per atom

***

Record 27
SmTlHgS3 | PBE | relaxed

a b c (Å): 7.999 4.171 10.554
angles (deg): 90.00 107.25 90.00
Space group P2_1/m (No. 11)
Inequivalent atoms, fractional coordinates:
Sm  0.194  0.250  0.134 (multiplicity 2)
Tl  0.228  0.750  0.723 (multiplicity 2)
Hg  0.413  0.750  0.383 (multiplicity 2)
S  0.045  0.250  0.865 (multiplicity 2)
S  0.251  0.250  0.433 (multiplicity 2)
S  0.439  0.750  0.151 (multiplicity 2)

E ... -4.24 eV per atom
Energy above the lowest structure with this stoichiometry ... 0.138 eV per formula unit